# 1
The following is a DFT calculation (GGA-PBE) of a geometry-optimized CuB2Ir2 structure.

Excess energy over the best structure of this formula in the dataset ... 131.9 meV per atom

Lattice parameters (Å, degrees): 6.286 6.286 2.706 90.00 90.00 90.00
Sites, in units of the cell vectors:
Cu1 0.000 0.000 0.000
Cu2 0.500 0.500 0.000
Ir1 0.346 0.154 0.500
Ir2 0.846 0.346 0.500
Ir3 0.154 0.654 0.500
Ir4 0.654 0.846 0.500
B1 0.857 0.643 0.000
B2 0.643 0.143 0.000
B3 0.357 0.857 0.000
B4 0.143 0.357 0.000

# 2
The following is a DFT calculation (GGA-PBE) of a geometry-optimized La2Nd3Sm6Tl structure.

Lattice parameters (Å, degrees): 6.255 6.255 12.031 95.01 95.01 120.04
Sites, in units of the cell vectors:
Sm1 0.082 0.408 0.248
Sm2 0.758 0.758 0.250
Sm3 0.408 0.082 0.248
Sm4 0.918 0.592 0.752
Sm5 0.592 0.918 0.752
Sm6 0.242 0.242 0.750
Nd1 0.500 0.500 0.500
Nd2 0.832 0.168 0.500
Nd3 0.168 0.832 0.500
Tl1 0.000 0.000 0.000
La1 0.334 0.666 0.000
La2 0.666 0.334 0.000

# 3
The following is a DFT calculation (GGA-PBE) of a geometry-optimized YCu2Ni structure.

Excess energy over the best structure of this formula in the dataset ... 248.7 meV per atom

Lattice parameters (Å, degrees): 4.298 5.041 4.043 128.57 90.01 90.00
Sites, in units of the cell vectors:
Cu1 0.000 0.813 0.627
Cu2 0.000 0.187 0.373
Ni1 0.500 0.000 0.000
Y1 0.500 0.500 0.000

Looking at formation energy for the records above, in order, we have -0.033 -0.040 -0.011 eV per atom.